1.
A crystal of TcIr2W relaxed with PBEsol, computed with meta-GGA SCAN.

The structure in POSCAR format:
```
TcIr2W
1.0
2.7141 -3.8817 0.0000
2.7141 3.8817 0.0000
0.0000 0.0000 2.7224
Tc Ir W
1 2 1
Direct
0.0000 0.0000 0.0000
0.0000 0.5000 0.5000
0.5000 0.0000 0.5000
0.5000 0.5000 0.0000
```

Properties
Space-group type: No. 65
ΔE_f in eV per atom: -0.3199
VASP energy in eV for the cell shown: -248.23
Energy above the most stable polymorph in this dataset in meV per atom: 97
ρ in Mg/m³: 19.29
Total magnetic moment in μB per atom: 0.000

2.
A crystal of TcIr2W relaxed with PBEsol, computed with meta-GGA SCAN.

The structure in POSCAR format:
```
TcIr2W
1.0
3.8417 0.0000 0.0000
0.0000 3.8417 0.0000
0.0000 0.0000 3.8791
Tc Ir W
1 2 1
Direct
0.0000 0.0000 0.0000
0.0000 0.5000 0.5000
0.5000 0.0000 0.5000
0.5000 0.5000 0.0000
```

Properties
Space-group type: No. 123
ΔE_f in eV per atom: -0.3659
VASP energy in eV for the cell shown: -248.41
Energy above the most stable polymorph in this dataset in meV per atom: 51
ρ in Mg/m³: 19.33
Total magnetic moment in μB per atom: 0.000

3.
A crystal of TcIr2W relaxed with PBEsol, computed with meta-GGA SCAN.

The structure in POSCAR format:
```
TcIr2W
1.0
-1.9337 1.9337 3.8424
1.9337 -1.9337 3.8424
1.9337 1.9337 -3.8424
Tc Ir W
1 2 1
Direct
0.0000 0.0000 0.0000
0.5000 0.5000 0.0000
0.7500 0.2500 0.5000
0.2500 0.7500 0.5000
```

Properties
Space-group type: No. 119
ΔE_f in eV per atom: -0.2532
VASP energy in eV for the cell shown: -247.96
Energy above the most stable polymorph in this dataset in meV per atom: 163
ρ in Mg/m³: 19.25
Total magnetic moment in μB per atom: 0.000

4.
A crystal of YTc2Ir relaxed with PBEsol, computed with meta-GGA SCAN.

The structure in POSCAR format:
```
YTc2Ir
1.0
-1.7153 2.1463 4.4562
1.7153 -2.1463 4.4562
1.7153 2.1463 -4.4562
Y Tc Ir
1 2 1
Direct
0.0000 0.0000 0.0000
0.2523 0.7523 0.5000
0.7477 0.2477 0.5000
0.5000 0.5000 0.0000
```

Properties
Space-group type: No. 71
ΔE_f in eV per atom: 0.1180
VASP energy in eV for the cell shown: -168.59
Energy above the most stable polymorph in this dataset in meV per atom: 0
ρ in Mg/m³: 12.07
Total magnetic moment in μB per atom: 0.000